Model i:
Entry from Alexandria via LeMat-Bulk: a geometry-optimized MoHW2 structure (PBE).

a b c (Å): 6.099 6.099 6.099
angles (deg): 90.00 90.00 90.00
Space group Fm-3m (No. 225)
Symmetry-distinct sites (fractional):
Mo 0.000 0.000 0.000
H 0.000 0.000 0.500
W 0.250 0.250 0.250

Model ii:
Entry from Alexandria via LeMat-Bulk: a geometry-optimized MoHW2 structure (PBE).

a b c (Å): 5.421 5.421 7.684
angles (deg): 90.00 90.00 90.00
Space group I4_1/amd (No. 141, origin choice 2)
Symmetry-distinct sites (fractional):
Mo 0.000 0.250 0.375
H 0.000 0.250 0.875
W 0.000 0.000 0.000

Of the structures shown above, model ii is the most stable.